# 1
# MoC PBE-GGA relaxed
# **Magnetic moment**: 0.0 μB/cell
# **Raw total energy**: -9.3923 eV per atom
# **ΔH_f (0 K)**: 0.64 eV per atom
data_MoC
_symmetry_space_group_name_H-M 'P 1'
_symmetry_Int_Tables_number 1
_cell_length_a 6.414
_cell_length_b 6.414
_cell_length_c 6.414
_cell_angle_alpha 90.00
_cell_angle_beta 90.00
_cell_angle_gamma 90.00
loop_
_symmetry_equiv_pos_as_xyz
'x,y,z'
loop_
_atom_site_label
_atom_site_type_symbol
_atom_site_fract_x
_atom_site_fract_y
_atom_site_fract_z
Mo1 Mo 0.158 0.158 0.842
Mo2 Mo 0.158 0.842 0.158
Mo3 Mo 0.342 0.342 0.342
Mo4 Mo 0.342 0.658 0.658
Mo5 Mo 0.658 0.342 0.658
Mo6 Mo 0.658 0.658 0.342
Mo7 Mo 0.842 0.158 0.158
Mo8 Mo 0.842 0.842 0.842
C1 C 0.161 0.161 0.161
C2 C 0.161 0.839 0.839
C3 C 0.339 0.339 0.661
C4 C 0.339 0.661 0.339
C5 C 0.661 0.339 0.339
C6 C 0.661 0.661 0.661
C7 C 0.839 0.161 0.839
C8 C 0.839 0.839 0.161



# 2
# Zr2GaCu PBE-GGA relaxed
# **Magnetic moment**: 0.0 μB/cell
# **Raw total energy**: -5.5992 eV per atom
# **ΔH_f (0 K)**: 0.46 eV per atom
data_Zr2GaCu
_symmetry_space_group_name_H-M 'P 1'
_symmetry_Int_Tables_number 1
_cell_length_a 2.928
_cell_length_b 5.062
_cell_length_c 11.188
_cell_angle_alpha 90.00
_cell_angle_beta 90.00
_cell_angle_gamma 90.00
loop_
_symmetry_equiv_pos_as_xyz
'x,y,z'
loop_
_atom_site_label
_atom_site_type_symbol
_atom_site_fract_x
_atom_site_fract_y
_atom_site_fract_z
Zr1 Zr 0.000 0.000 0.249
Zr2 Zr 0.000 0.000 0.751
Zr3 Zr 0.500 0.500 0.251
Zr4 Zr 0.500 0.500 0.749
Ga1 Ga 0.000 0.000 0.500
Ga2 Ga 0.500 0.500 0.000
Cu1 Cu 0.000 0.000 0.000
Cu2 Cu 0.500 0.500 0.500



Copy entry 1 word for word.
# MoC PBE-GGA relaxed
# **Magnetic moment**: 0.0 μB/cell
# **Raw total energy**: -9.3923 eV per atom
# **ΔH_f (0 K)**: 0.64 eV per atom
data_MoC
_symmetry_space_group_name_H-M 'P 1'
_symmetry_Int_Tables_number 1
_cell_length_a 6.414
_cell_length_b 6.414
_cell_length_c 6.414
_cell_angle_alpha 90.00
_cell_angle_beta 90.00
_cell_angle_gamma 90.00
loop_
_symmetry_equiv_pos_as_xyz
'x,y,z'
loop_
_atom_site_label
_atom_site_type_symbol
_atom_site_fract_x
_atom_site_fract_y
_atom_site_fract_z
Mo1 Mo 0.158 0.158 0.842
Mo2 Mo 0.158 0.842 0.158
Mo3 Mo 0.342 0.342 0.342
Mo4 Mo 0.342 0.658 0.658
Mo5 Mo 0.658 0.342 0.658
Mo6 Mo 0.658 0.658 0.342
Mo7 Mo 0.842 0.158 0.158
Mo8 Mo 0.842 0.842 0.842
C1 C 0.161 0.161 0.161
C2 C 0.161 0.839 0.839
C3 C 0.339 0.339 0.661
C4 C 0.339 0.661 0.339
C5 C 0.661 0.339 0.339
C6 C 0.661 0.661 0.661
C7 C 0.839 0.161 0.839
C8 C 0.839 0.839 0.161